Entry 1:
Here is a relaxed structure of MnHgSe from the Alexandria database. Energies are from PBE-GGA.

```
6
Lattice="-5.540 -3.232 1.592 1.727 -2.093 1.764 0.190 4.377 5.007" Properties=species:S:1:pos:R:3 pbc="T T T"
Hg -3.311 -2.713 4.477
Hg -0.313 1.766 3.886
Mn -1.034 0.738 6.341
Mn -2.590 -1.685 2.022
Se -3.309 0.883 5.773
Se -0.314 -1.830 2.591
```

Energy above the lowest structure with this stoichiometry in eV/f.u.: 0.31
Formation energy from raw total energies in meV/atom: -51

Entry 2:
Here is a relaxed structure of Hg2WAu from the Alexandria database. Energies are from PBE-GGA.

```
4
Lattice="-0.110 -6.625 7.316 0.095 -8.515 4.991 2.578 -7.280 6.146" Properties=species:S:1:pos:R:3 pbc="T T T"
Hg 1.285 -11.242 9.253
Hg 2.559 -22.388 18.427
Au 1.922 -16.815 13.840
W 0.641 -5.605 4.613
```

Energy above the lowest structure with this stoichiometry in eV/f.u.: 0.21
Energy of formation from the pure elements in eV/f.u.: 2.1

Entry 3:
Here is a relaxed structure of MnAlCl4 from the Alexandria database. Energies are from PBE-GGA.

```
6
Lattice="0.000 4.226 4.226 4.226 0.000 4.226 4.226 4.226 0.000" Properties=species:S:1:pos:R:3 pbc="T T T"
Al 0.000 0.000 0.000
Mn 6.339 6.339 6.339
Cl 5.280 5.280 3.172
Cl 3.172 3.172 3.172
Cl 5.280 3.172 5.280
Cl 3.172 5.280 5.280
```

Energy above the lowest structure with this stoichiometry in eV/f.u.: 9.22
Formation energy from raw total energies in meV/atom: 546

Entry 4:
Here is a relaxed structure of Th2GaCoCu from the Alexandria database. Energies are from PBE-GGA.

```
10
Lattice="4.256 0.000 0.000 0.000 6.952 0.402 0.000 -2.516 6.962" Properties=species:S:1:pos:R:3 pbc="T T T"
Ga 3.192 0.815 4.674
Ga 1.064 3.621 2.690
Cu 3.192 2.244 2.462
Cu 1.064 2.192 4.902
Th 3.192 4.440 4.868
Th 1.064 -0.385 6.763
Th 1.064 -0.004 2.497
Th 3.192 4.821 0.601
Co 1.064 3.943 6.728
Co 3.192 0.493 0.637
```

Energy of formation from the pure elements in eV/f.u.: -1.7

Entry 5:
Here is a relaxed structure of Y3AsP from the Alexandria database. Energies are from PBE-GGA.

```
5
Lattice="-1.680 1.721 -4.614 0.993 -4.657 -2.098 -4.823 -1.557 1.175" Properties=species:S:1:pos:R:3 pbc="T T T"
Y -2.412 -0.779 0.588
Y -0.840 0.860 -2.307
Y 0.496 -2.328 -1.049
As -2.755 -2.247 -2.768
P 0.000 0.000 0.000
```

Energy above the lowest structure with this stoichiometry in eV/f.u.: 0.00
Energy of formation from the pure elements in eV/f.u.: -3.2

Entry 6:
Here is a relaxed structure of LiDy2MgTl4 from the Alexandria database. Energies are from PBE-GGA.

```
8
Lattice="5.226 0.000 0.000 2.613 4.526 0.000 2.613 1.509 8.514" Properties=species:S:1:pos:R:3 pbc="T T T"
Dy 7.840 4.526 6.426
Dy 2.613 1.509 2.088
Tl 7.840 4.526 3.252
Tl 2.613 1.509 5.263
Tl 5.226 3.017 7.382
Tl 5.226 3.017 1.132
Mg 0.000 0.000 0.000
Li 5.226 3.017 4.257
```

Energy of formation from the pure elements in eV/f.u.: -2.1

Entry 7:
Here is a relaxed structure of La4TmTh3S8 from the Alexandria database. Energies are from PBE-GGA.

```
16
Lattice="8.138 0.000 0.000 0.000 8.155 0.006 -4.069 -4.065 5.758" Properties=species:S:1:pos:R:3 pbc="T T T"
Th 2.035 2.045 2.882
Th 4.069 4.078 0.003
Th -2.035 2.045 2.882
S 6.164 2.134 0.026
S 4.069 4.053 2.862
S 0.000 4.049 2.774
S 2.095 1.956 5.738
S 4.069 0.041 2.990
S -2.095 1.956 5.738
S 0.000 0.037 2.902
S 1.974 2.134 0.026
La 2.035 -2.033 2.879
La -2.035 -2.033 2.879
La 0.000 0.000 0.000
La 4.069 0.000 0.000
Tm 0.000 4.078 0.003
```

Formation energy from raw total energies in meV/atom: -2011

Entry 8:
Here is a relaxed structure of NaTmCd2 from the Alexandria database. Energies are from PBE-GGA.

```
4
Lattice="3.439 0.000 0.000 0.000 5.422 0.000 0.000 0.000 5.422" Properties=species:S:1:pos:R:3 pbc="T T T"
Cd 0.000 2.711 0.000
Cd 0.000 0.000 2.711
Na 1.720 2.711 2.711
Tm 1.720 0.000 0.000
```

Energy above the lowest structure with this stoichiometry in eV/f.u.: 0.00
Energy of formation from the pure elements in eV/f.u.: -0.7

Entry 9:
Here is a relaxed structure of Re2SiPt from the Alexandria database. Energies are from PBE-GGA.

```
4
Lattice="-3.608 -2.393 -1.943 -1.293 -3.206 -3.252 0.330 -3.675 2.866" Properties=species:S:1:pos:R:3 pbc="T T T"
Pt -3.387 -6.854 -1.735
Re -1.187 -2.314 -0.662
Re -4.879 -5.657 -5.118
Si -2.307 -4.684 -1.172
```

Formation energy from raw total energies in meV/atom: -10

Entry 10:
Here is a relaxed structure of BaReTe2 from the Alexandria database. Energies are from PBE-GGA.

```
4
Lattice="-3.770 2.087 -0.854 -3.680 -1.164 2.097 -1.095 4.829 5.353" Properties=species:S:1:pos:R:3 pbc="T T T"
Re -2.136 1.438 1.649
Te -4.387 2.505 2.892
Te -7.336 1.296 1.650
Ba -6.409 4.315 4.948
```

Energy above the lowest structure with this stoichiometry in eV/f.u.: 0.00
Formation energy from raw total energies in meV/atom: -275

Entry 11:
Here is a relaxed structure of TbDy4S4 from the Alexandria database. Energies are from PBE-GGA.

```
9
Lattice="-4.340 4.340 2.743 4.340 -4.340 2.743 4.340 4.340 -2.743" Properties=species:S:1:pos:R:3 pbc="T T T"
S 3.483 -1.717 2.743
S 0.856 6.057 0.000
S 2.622 0.856 0.000
S 1.717 3.483 2.743
Dy 1.714 3.438 0.000
Dy -0.901 2.626 2.743
Dy 2.626 0.901 2.743
Dy 5.241 1.714 0.000
Tb 0.000 0.000 0.000
```

Formation energy from raw total energies in meV/atom: -1766

Entry 12:
Here is a relaxed structure of Ba6TlN from the Alexandria database. Energies are from PBE-GGA.

```
8
Lattice="-5.130 -4.781 -1.955 0.718 -6.582 5.706 -3.633 -0.520 6.552" Properties=species:S:1:pos:R:3 pbc="T T T"
N -2.206 -5.681 1.876
Tl 0.000 0.000 0.000
Ba -4.896 -5.113 1.738
Ba -6.002 -7.387 5.949
Ba -3.149 -6.769 8.565
Ba -2.731 -8.132 3.145
Ba -1.681 -3.230 0.606
Ba -2.043 -4.496 4.354
```

Formation energy from raw total energies in meV/atom: -200

Entry 13:
Here is a relaxed structure of Sm2Dy7Tm4 from the Alexandria database. Energies are from PBE-GGA.

```
13
Lattice="-2.177 1.168 -5.515 -1.270 -5.256 2.698 -10.788 5.376 5.396" Properties=species:S:1:pos:R:3 pbc="T T T"
Dy -9.657 2.745 3.213
Dy -9.831 4.953 0.666
Dy -4.577 -1.457 -0.634
Dy 0.000 0.000 0.000
Dy -9.247 0.816 5.954
Dy -4.403 -3.665 1.914
Dy -2.810 -0.697 2.141
Tm -7.268 1.715 -0.079
Tm -6.966 -0.427 2.659
Tm -4.260 2.123 2.131
Tm -7.797 -2.004 5.963
Sm -1.874 -0.973 -2.777
Sm -1.572 -3.115 -0.040
```

Energy of formation from the pure elements in eV/f.u.: 2.5

Entry 14:
Here is a relaxed structure of CdFePb2 from the Alexandria database. Energies are from PBE-GGA.

```
4
Lattice="5.203 0.000 0.000 2.601 4.506 0.000 2.601 1.502 4.248" Properties=species:S:1:pos:R:3 pbc="T T T"
Fe 7.804 4.506 3.186
Pb 0.000 0.000 0.000
Pb 2.601 1.502 1.062
Cd 5.203 3.004 2.124
```

Energy of formation from the pure elements in eV/f.u.: 2.3

Entry 15:
Here is a relaxed structure of Li8HoSn6 from the Alexandria database. Energies are from PBE-GGA.

```
15
Lattice="-3.548 6.851 3.065 0.708 1.783 8.077 3.804 5.815 2.650" Properties=species:S:1:pos:R:3 pbc="T T T"
Li -0.348 9.355 5.060
Li 1.362 8.204 9.516
Li -0.015 3.454 3.505
Li -1.350 9.171 8.102
Li 1.312 5.094 8.732
Li -0.398 6.245 4.276
Li 0.978 10.995 10.287
Li 2.313 5.278 5.691
Sn 1.952 7.749 4.204
Sn -0.175 4.224 6.391
Sn -0.989 6.700 9.589
Sn -2.414 7.644 5.834
Sn 1.138 10.225 7.402
Sn 3.377 6.805 7.958
Ho 0.000 0.000 0.000
```

Energy of formation from the pure elements in eV/f.u.: -3.8